(1)
Density functional theory data (PBE) for Cu4NiOs after structural relaxation.

Values from the calculation:
**Magnetic moment**: 1.69 μB per formula unit
**E**: -5.178 eV per atom
**Formation energy from the elements**: 0.388 eV/atom

Cell: 4.7083 4.7083 4.7083 Å, 60.00 60.00 60.00°
Each line ends with the local moment (μB).
Fractional coordinates of all 6 atoms:
Os  0.0000  0.0000  0.0000  0.98
Cu  0.3750  0.3750  0.3750  0.05
Cu  0.3750  0.8750  0.3750  0.05
Cu  0.3750  0.3750  0.8750  0.05
Cu  0.8750  0.3750  0.3750  0.05
Ni  0.7500  0.7500  0.7500  0.57


(2)
Density functional theory data (PBE) for PrSm2Al9 after structural relaxation.

Values from the calculation:
**Magnetic moment**: 0.00 μB per formula unit
**E**: -4.383 eV per atom
**Formation energy from the elements**: -0.392 eV/atom

Cell: 5.6618 5.6618 9.4080 Å, 72.49 72.49 60.00°
Fractional coordinates of all 12 atoms:
Al  0.6645  0.6645  0.0066
Al  0.5870  0.5870  0.7505
Al  0.3355  0.3355  0.9934
Al  0.5870  0.0755  0.7505
Al  0.9245  0.4130  0.2495
Al  0.5000  0.5000  0.5000
Al  0.4130  0.9245  0.2495
Al  0.4130  0.4130  0.2495
Al  0.0755  0.5870  0.7505
Sm  0.1416  0.1416  0.5752
Sm  0.8584  0.8584  0.4248
Pr  0.0000  0.0000  0.0000


(3)
Density functional theory data (PBE) for GdHo3Cu after structural relaxation.

Values from the calculation:
**Magnetic moment**: 7.31 μB per formula unit
**E**: -6.285 eV per atom
**Formation energy from the elements**: 0.097 eV/atom

Cell: 5.3479 5.3479 5.3479 Å, 90.00 90.00 90.00°
Each line ends with the local moment (μB).
Fractional coordinates of all 5 atoms:
Gd  0.5000  0.5000  0.5000  7.16
Cu  0.0000  0.0000  0.0000  0.00
Ho  0.0000  0.5000  0.0000  -0.02
Ho  0.0000  0.0000  0.5000  -0.02
Ho  0.5000  0.0000  0.0000  -0.02


(4)
Density functional theory data (PBE) for LaHf2Pd2 after structural relaxation.

Values from the calculation:
**Magnetic moment**: 0.00 μB per formula unit
**E**: -7.442 eV per atom
**Offset from the most stable computed form**: 113.4 meV/atom
**Formation energy from the elements**: -0.398 eV/atom

Cell: 8.1229 8.1229 3.1563 Å, 90.00 90.00 90.00°
Fractional coordinates of all 10 atoms:
Pd  0.3589  0.1411  0.5000
Pd  0.1411  0.6411  0.5000
Pd  0.8589  0.3589  0.5000
Pd  0.6411  0.8589  0.5000
Hf  0.8504  0.6496  0.0000
Hf  0.1496  0.3504  0.0000
Hf  0.3504  0.8504  0.0000
Hf  0.6496  0.1496  0.0000
La  0.0000  0.0000  0.0000
La  0.5000  0.5000  0.0000


(5)
Density functional theory data (PBE) for TaIr3 after structural relaxation.

Values from the calculation:
**Magnetic moment**: 0.00 μB per formula unit
**E**: -9.966 eV per atom
**Formation energy from the elements**: -0.357 eV/atom

Cell: 2.8026 4.8167 4.8173 Å, 99.95 90.00 73.09°
Fractional coordinates of all 4 atoms:
Ir  0.5004  0.9991  0.5073
Ir  0.7500  0.5000  0.7500
Ir  0.9996  0.0009  0.9927
Ta  0.2500  0.5000  0.2500


(6)
Density functional theory data (PBE) for TlAgSe2 after structural relaxation.

Values from the calculation:
**Magnetic moment**: 0.00 μB per formula unit
**E_form (uncorrected)**: -153 meV per atom
**E**: -3.200 eV per atom

Cell: 8.1295 6.8436 4.4065 Å, 70.87 105.68 103.59°
Fractional coordinates of all 8 atoms:
Tl  0.3689  0.4240  0.1466
Tl  0.7575  0.3389  0.8918
Se  0.0644  0.3844  0.4597
Se  0.5620  0.8800  0.3340
Se  0.3371  0.0173  0.8620
Se  0.7880  0.7455  0.2237
Ag  0.1242  0.7415  0.6029
Ag  0.9979  0.0253  0.8940